Here is an optimized crystal structure of PdC from the Alexandria database. Energies are from GGA-PBE.

a = 5.973 Å, b = 5.607 Å, c = 7.053 Å
α = 90.00°, β = 90.00°, γ = 90.00°
Fractional coordinates of all 16 atoms:
C: 0.144 0.961 0.275
C: 0.644 0.539 0.725
C: 0.849 0.937 0.944
C: 0.651 0.063 0.444
C: 0.356 0.039 0.775
C: 0.151 0.437 0.556
C: 0.349 0.563 0.056
C: 0.856 0.461 0.225
Pd: 0.667 0.903 0.702
Pd: 0.812 0.378 0.521
Pd: 0.833 0.097 0.202
Pd: 0.312 0.122 0.479
Pd: 0.188 0.878 0.979
Pd: 0.167 0.597 0.298
Pd: 0.333 0.403 0.798
Pd: 0.688 0.622 0.021

For the relative energy among the computed polymorphs, the calculation gives 549 meV/atom. The total energy is -5.8382 eV/atom. The value obtained for the calculated formation energy is 2.74 eV per formula unit. For the calculated volume, the calculation gives 236.2 Å³ per cell.